Record 1
Density functional theory data (PBE) for a relaxed Rb2TlRu crystal.

Total moment = 1.02 μB/f.u.
DFT formation energy = 731 meV per atom
Polymorph energy (0 for the lowest one) = 0 meV per atom
DFT total energy = -2.66 eV per atom

Structure (CIF):
```
data_Rb2TlRu
_cell_length_a 12.607
_cell_length_b 12.607
_cell_length_c 5.283
_cell_angle_alpha 90.00
_cell_angle_beta 90.00
_cell_angle_gamma 90.00
_space_group_name_H-M_alt 'I -4 2 d'
_space_group_IT_number 122
_space_group_name_Hall 'I -4 2bw'
loop_
_atom_site_label
_atom_site_type_symbol
_atom_site_fract_x
_atom_site_fract_y
_atom_site_fract_z
Rb1 Rb 0.072 0.250 0.125
Tl1 Tl 0.000 0.000 0.500
Ru1 Ru 0.000 0.000 0.000
```


Record 2
Density functional theory data (PBE) for a relaxed RbTl3Ru crystal.

Total moment = 0.00 μB/f.u.
DFT formation energy = 51 meV per atom
Polymorph energy (0 for the lowest one) = 0 meV per atom
DFT total energy = -3.42 eV per atom

Structure (CIF):
```
data_RbTl3Ru
_cell_length_a 5.385
_cell_length_b 5.385
_cell_length_c 5.385
_cell_angle_alpha 90.00
_cell_angle_beta 90.00
_cell_angle_gamma 90.00
_space_group_name_H-M_alt 'P m -3 m'
_space_group_IT_number 221
_space_group_name_Hall '-P 4 2 3'
loop_
_atom_site_label
_atom_site_type_symbol
_atom_site_fract_x
_atom_site_fract_y
_atom_site_fract_z
Rb1 Rb 0.000 0.000 0.000
Tl1 Tl 0.000 0.500 0.500
Ru1 Ru 0.500 0.500 0.500
```


What did the second record say?
Density functional theory data (PBE) for a relaxed RbTl3Ru crystal.

Total moment = 0.00 μB/f.u.
DFT formation energy = 51 meV per atom
Polymorph energy (0 for the lowest one) = 0 meV per atom
DFT total energy = -3.42 eV per atom

Structure (CIF):
```
data_RbTl3Ru
_cell_length_a 5.385
_cell_length_b 5.385
_cell_length_c 5.385
_cell_angle_alpha 90.00
_cell_angle_beta 90.00
_cell_angle_gamma 90.00
_space_group_name_H-M_alt 'P m -3 m'
_space_group_IT_number 221
_space_group_name_Hall '-P 4 2 3'
loop_
_atom_site_label
_atom_site_type_symbol
_atom_site_fract_x
_atom_site_fract_y
_atom_site_fract_z
Rb1 Rb 0.000 0.000 0.000
Tl1 Tl 0.000 0.500 0.500
Ru1 Ru 0.500 0.500 0.500
```


Question: Which formula does entry 2 have?
Answer: RbTl3Ru